(1)
A plane-wave DFT calculation with SCAN was carried out for a PBEsol-optimized structure of YNb3Ga.

- symmetry = Pm-3m

Cell lengths 4.8385, 4.8385, 4.8385 Å; angles 90.00, 90.00, 90.00 degrees
Sites, in units of the cell vectors:
Y: 0.0000 0.0000 0.0000
Nb: 0.0000 0.0000 0.5000
Nb: 0.0000 0.5000 0.0000
Nb: 0.5000 0.0000 0.0000
Ga: 0.5000 0.5000 0.5000

---

(2)
A plane-wave DFT calculation with SCAN was carried out for a PBEsol-optimized structure of Zr2NbGa2.

- symmetry = P4/mbm

Cell lengths 7.0700, 7.0700, 3.6653 Å; angles 90.00, 90.00, 90.00 degrees
Sites, in units of the cell vectors:
Zr: 0.1778 0.3222 0.0000
Zr: 0.3222 0.8222 0.0000
Zr: 0.6778 0.1778 0.0000
Zr: 0.8222 0.6778 0.0000
Nb: 0.0000 0.0000 0.5000
Nb: 0.5000 0.5000 0.5000
Ga: 0.1248 0.6248 0.5000
Ga: 0.3752 0.1248 0.5000
Ga: 0.6248 0.8752 0.5000
Ga: 0.8752 0.3752 0.5000

---

(3)
A plane-wave DFT calculation with SCAN was carried out for a PBEsol-optimized structure of NdGa3.

- symmetry = Pm-3m

Cell lengths 4.3040, 4.3040, 4.3040 Å; angles 90.00, 90.00, 90.00 degrees
Sites, in units of the cell vectors:
Nd: 0.0000 0.0000 0.0000
Ga: 0.0000 0.5000 0.5000
Ga: 0.5000 0.0000 0.5000
Ga: 0.5000 0.5000 0.0000

---

(4)
A plane-wave DFT calculation with SCAN was carried out for a PBEsol-optimized structure of NdGa3.

- symmetry = P6_3/mmc

Cell lengths 6.3654, 6.3654, 4.5046 Å; angles 90.00, 90.00, 120.00 degrees
Sites, in units of the cell vectors:
Nd: 0.3333 0.6667 0.2500
Nd: 0.6667 0.3333 0.7500
Ga: 0.1429 0.2858 0.7500
Ga: 0.1429 0.8571 0.7500
Ga: 0.2858 0.1429 0.2500
Ga: 0.7142 0.8571 0.7500
Ga: 0.8571 0.1429 0.2500
Ga: 0.8571 0.7142 0.2500

---

(5)
A plane-wave DFT calculation with SCAN was carried out for a PBEsol-optimized structure of NdGa2.

- symmetry = P6/mmm

Cell lengths 4.2232, 4.2232, 4.2041 Å; angles 90.00, 90.00, 120.00 degrees
Sites, in units of the cell vectors:
Nd: 0.0000 0.0000 0.0000
Ga: 0.3333 0.6667 0.5000
Ga: 0.6667 0.3333 0.5000

---

(6)
A plane-wave DFT calculation with SCAN was carried out for a PBEsol-optimized structure of Nd2GaNi2.

- symmetry = Immm

Cell lengths 5.4115, 5.4115, 5.4115 Å; angles 134.09, 120.85, 77.96 degrees
Sites, in units of the cell vectors:
Nd: 0.2012 0.2012 0.0000
Nd: 0.7988 0.7988 0.0000
Ga: 0.5000 0.0000 0.5000
Ni: 0.2369 0.5000 0.7369
Ni: 0.7631 0.5000 0.2631

---

(7)
A plane-wave DFT calculation with SCAN was carried out for a PBEsol-optimized structure of NdGa2Ni.

- symmetry = Cmmm

Cell lengths 8.8920, 8.8920, 4.0978 Å; angles 90.00, 90.00, 153.01 degrees
Sites, in units of the cell vectors:
Nd: 0.1415 0.8585 0.0000
Nd: 0.8585 0.1415 0.0000
Ga: 0.0000 0.0000 0.5000
Ga: 0.2908 0.7092 0.5000
Ga: 0.5000 0.5000 0.0000
Ga: 0.7092 0.2908 0.5000
Ni: 0.4271 0.5729 0.5000
Ni: 0.5729 0.4271 0.5000

---

(8)
A plane-wave DFT calculation with SCAN was carried out for a PBEsol-optimized structure of NdGa2Ni3.

- symmetry = P-62m

Cell lengths 8.7593, 8.7593, 4.0614 Å; angles 90.00, 90.00, 120.00 degrees
Sites, in units of the cell vectors:
Nd: 0.0000 0.0000 0.0000
Nd: 0.3333 0.6667 0.5000
Nd: 0.6667 0.3333 0.5000
Ga: 0.0000 0.4770 0.0000
Ga: 0.0000 0.7263 0.5000
Ga: 0.2737 0.2737 0.5000
Ga: 0.4770 0.0000 0.0000
Ga: 0.5230 0.5230 0.0000
Ga: 0.7263 0.0000 0.5000
Ni: 0.0000 0.2902 0.5000
Ni: 0.1707 0.7991 0.0000
Ni: 0.2009 0.3715 0.0000
Ni: 0.2902 0.0000 0.5000
Ni: 0.3715 0.2009 0.0000
Ni: 0.6285 0.8293 0.0000
Ni: 0.7098 0.7098 0.5000
Ni: 0.7991 0.1707 0.0000
Ni: 0.8293 0.6285 0.0000

---

| no. | V (Å³/cell) | DFT formation energy (meV per atom) |
| --- | --- | --- |
| 1 | 113.3 | 2007 |
| 2 | 183.2 | -606 |
| 3 | 79.7 | -563 |
| 4 | 158.1 | -682 |
| 5 | 64.9 | -837 |
| 6 | 94.9 | -507 |
| 7 | 147.0 | -732 |
| 8 | 269.9 | -555 |